Cr4Ir5 after structural relaxation, computed with PBE.

abc: 5.957 5.957 5.957
angles: 95.76 95.76 143.06
Fractional positions:
Cr: 0.000 0.338 0.338
Cr: 0.000 0.662 0.662
Cr: 0.338 0.000 0.338
Cr: 0.662 0.000 0.662
Ir: 0.000 0.000 0.000
Ir: 0.331 0.331 0.662
Ir: 0.331 0.669 0.000
Ir: 0.669 0.331 0.000
Ir: 0.669 0.669 0.338

Values from the calculation:
The spin magnetization is 0.0 μB per formula unit. The space group is No. 139. For the volume, the calculation gives 120 Å³ per cell. For the polymorph energy (0 for the lowest one), the calculation gives 0.0 meV per atom. For the formation energy, the calculation gives -94 meV/atom.

K2CrIr after structural relaxation, computed with PBE.

abc: 5.374 5.374 5.374
angles: 60.00 60.00 60.00
Fractional positions:
K: 0.250 0.250 0.250
K: 0.750 0.750 0.750
Cr: 0.000 0.000 0.000
Ir: 0.500 0.500 0.500

Values from the calculation:
The spin magnetization is 4.9 μB per formula unit. The space group is No. 225. For the volume, the calculation gives 110 Å³ per cell. For the polymorph energy (0 for the lowest one), the calculation gives 886.5 meV per atom. For the formation energy, the calculation gives 1384 meV/atom.

K2CrIr after structural relaxation, computed with PBE.

abc: 5.135 5.135 5.135
angles: 119.93 119.93 90.12
Fractional positions:
K: 0.000 0.000 0.000
K: 0.750 0.250 0.500
Cr: 0.500 0.500 0.000
Ir: 0.250 0.750 0.500

Values from the calculation:
The spin magnetization is 4.6 μB per formula unit. The space group is No. 119. For the volume, the calculation gives 96 Å³ per cell. For the polymorph energy (0 for the lowest one), the calculation gives 582.8 meV per atom. For the formation energy, the calculation gives 1080 meV/atom.

K2CrIr after structural relaxation, computed with PBE.

abc: 6.394 6.394 3.021
angles: 102.29 102.29 126.55
Fractional positions:
K: 0.000 0.500 0.000
K: 0.500 0.000 0.000
Cr: 0.000 0.000 0.500
Ir: 0.500 0.500 0.500

Values from the calculation:
The spin magnetization is 3.9 μB per formula unit. The space group is No. 12. For the volume, the calculation gives 87 Å³ per cell. For the polymorph energy (0 for the lowest one), the calculation gives 569.3 meV per atom. For the formation energy, the calculation gives 1066 meV/atom.

K2CrIr after structural relaxation, computed with PBE.

abc: 3.018 3.018 11.143
angles: 90.00 90.00 90.00
Fractional positions:
K: 0.000 0.000 0.220
K: 0.000 0.000 0.780
Cr: 0.500 0.500 0.500
Ir: 0.500 0.500 0.000

Values from the calculation:
The spin magnetization is 5.3 μB per formula unit. The space group is No. 123. For the volume, the calculation gives 102 Å³ per cell. For the polymorph energy (0 for the lowest one), the calculation gives 682.7 meV per atom. For the formation energy, the calculation gives 1180 meV/atom.

KCrIr after structural relaxation, computed with PBE.

abc: 6.610 6.610 6.610
angles: 154.99 146.24 42.47
Fractional positions:
K: 0.000 0.000 0.000
Cr: 0.727 0.727 0.000
Ir: 0.287 0.287 0.000

Values from the calculation:
The spin magnetization is 2.9 μB per formula unit. The space group is No. 44. For the volume, the calculation gives 68 Å³ per cell. For the polymorph energy (0 for the lowest one), the calculation gives 0.0 meV per atom. For the formation energy, the calculation gives 506 meV/atom.

K2CrIr after structural relaxation, computed with PBE.

abc: 11.760 11.760 11.760
angles: 14.82 14.82 14.82
Fractional positions:
K: 0.242 0.242 0.242
K: 0.758 0.758 0.758
Cr: 0.000 0.000 0.000
Ir: 0.500 0.500 0.500

Values from the calculation:
The spin magnetization is 4.5 μB per formula unit. The space group is No. 166. For the volume, the calculation gives 93 Å³ per cell. For the polymorph energy (0 for the lowest one), the calculation gives 676.5 meV per atom. For the formation energy, the calculation gives 1174 meV/atom.

K2CrIr after structural relaxation, computed with PBE.

abc: 4.168 4.168 9.716
angles: 101.50 101.50 60.05
Fractional positions:
K: 0.000 0.000 0.000
K: 0.169 0.169 0.542
Cr: 0.418 0.418 0.271
Ir: 0.751 0.751 0.271

Values from the calculation:
The spin magnetization is 3.1 μB per formula unit. The space group is No. 8. For the volume, the calculation gives 142 Å³ per cell. For the polymorph energy (0 for the lowest one), the calculation gives 11.6 meV per atom. For the formation energy, the calculation gives 509 meV/atom.

KCrIr after structural relaxation, computed with PBE.

abc: 4.717 4.717 4.717
angles: 60.00 60.00 60.00
Fractional positions:
K: 0.000 0.000 0.000
Cr: 0.250 0.250 0.250
Ir: 0.750 0.750 0.750

Values from the calculation:
The spin magnetization is 4.0 μB per formula unit. The space group is No. 216. For the volume, the calculation gives 74 Å³ per cell. For the polymorph energy (0 for the lowest one), the calculation gives 1608.2 meV per atom. For the formation energy, the calculation gives 2114 meV/atom.

KCrIr after structural relaxation, computed with PBE.

abc: 4.645 4.645 4.645
angles: 60.00 60.00 60.00
Fractional positions:
K: 0.000 0.000 0.000
Cr: 0.500 0.500 0.500
Ir: 0.250 0.250 0.250

Values from the calculation:
The spin magnetization is 3.9 μB per formula unit. The space group is No. 216. For the volume, the calculation gives 71 Å³ per cell. For the polymorph energy (0 for the lowest one), the calculation gives 810.3 meV per atom. For the formation energy, the calculation gives 1316 meV/atom.

KCrIr after structural relaxation, computed with PBE.

abc: 8.248 8.045 2.739
angles: 84.53 76.16 19.31
Fractional positions:
K: 0.000 0.000 0.000
Cr: 0.308 0.308 0.692
Ir: 0.680 0.680 0.320

Values from the calculation:
The spin magnetization is 0.5 μB per formula unit. The space group is No. 42. For the volume, the calculation gives 53 Å³ per cell. For the polymorph energy (0 for the lowest one), the calculation gives 461.0 meV per atom. For the formation energy, the calculation gives 967 meV/atom.

K2CrIr after structural relaxation, computed with PBE.

abc: 4.096 4.096 5.480
angles: 90.00 90.00 90.00
Fractional positions:
K: 0.000 0.500 0.000
K: 0.500 0.000 0.000
Cr: 0.000 0.000 0.500
Ir: 0.500 0.500 0.500

Values from the calculation:
The spin magnetization is 4.0 μB per formula unit. The space group is No. 123. For the volume, the calculation gives 92 Å³ per cell. For the polymorph energy (0 for the lowest one), the calculation gives 560.7 meV per atom. For the formation energy, the calculation gives 1058 meV/atom.